Computed, not measured: crystalline ZnCr2Ni at its relaxed geometry at the GGA-PBE level of DFT. Values from VASP.

Computed properties:
- formation enthalpy at 0 K (meV per atom) = 305
- N(E_F) (states/eV/atom) = 0.968

```
&SYSTEM
  ibrav = 0, nat = 4, ntyp = 3
/
ATOMIC_SPECIES
Cr 52.00 Cr.upf
Ni 58.69 Ni.upf
Zn 65.41 Zn.upf
ATOMIC_POSITIONS angstrom
Cr 0.000 0.000 0.000
Cr -2.427 1.367 -1.037
Ni -1.449 1.666 1.327
Zn -2.405 -0.903 0.178
CELL_PARAMETERS angstrom
-1.470 3.936 0.112
-3.383 -1.201 -2.186
-1.428 -0.605 2.542
```